Entry 1:
## AlCrIn2I (SCAN)

Data for a PBEsol-optimized structure of AlCrIn2I.

- Density of states at the Fermi level: 1.9 states/eV/cell
- Energy relative to the elements, uncorrected: 54.7 kJ per mole of atoms

Lattice parameters (Å, degrees): 5.2703 5.2703 5.5645 90.00 90.00 90.00
Atoms (fractional coordinates):
1 I 0.0000 0.0000 0.5000
2 Cr 0.5000 0.5000 0.5000
3 Al 0.0000 0.0000 0.0000
4 In 0.0000 0.5000 0.0000
5 In 0.5000 0.0000 0.0000

---

Entry 2:
## KMgNF2 (SCAN)

Data for a PBEsol-optimized structure of KMgNF2.

- Energy relative to the elements, uncorrected: -187.4 kJ per mole of atoms

Lattice parameters (Å, degrees): 4.0523 4.0523 4.2759 90.00 90.00 90.00
Atoms (fractional coordinates):
1 K 0.5000 0.5000 0.5000
2 N 0.0000 0.0000 0.5000
3 Mg 0.0000 0.0000 0.0000
4 F 0.0000 0.5000 0.0000
5 F 0.5000 0.0000 0.0000

---

Entry 3:
## Be2AlIr2 (SCAN)

Data for a PBEsol-optimized structure of Be2AlIr2.

- Density of states at the Fermi level: 2.7 states/eV/cell
- Energy of formation: -0.839 eV/atom

Lattice parameters (Å, degrees): 2.7977 6.3628 6.3628 90.00 90.00 90.00
Atoms (fractional coordinates):
1 Be 0.0000 0.3811 0.8811
2 Be 0.0000 0.8811 0.6189
3 Be 0.0000 0.6189 0.1189
4 Be 0.0000 0.1189 0.3811
5 Ir 0.5000 0.1761 0.6761
6 Ir 0.5000 0.6761 0.8239
7 Ir 0.5000 0.8239 0.3239
8 Ir 0.5000 0.3239 0.1761
9 Al 0.0000 0.0000 0.0000
10 Al 0.0000 0.5000 0.5000

---

Entry 4:
## BeHgAu2 (SCAN)

Data for a PBEsol-optimized structure of BeHgAu2.

- Density of states at the Fermi level: 0.9 states/eV/cell
- Energy of formation: 0.008 eV/atom
- Polymorph energy (0 for the lowest one): 125 meV/atom

Lattice parameters (Å, degrees): 3.0651 3.0651 6.7711 90.00 90.00 90.00
Atoms (fractional coordinates):
1 Be 0.0000 0.0000 0.4509
2 Au 0.0000 0.0000 0.0193
3 Au 0.5000 0.5000 0.3030
4 Hg 0.5000 0.5000 0.7269

---

Magnetization per entry: 5.51 2.00 0.00 0.00 μB/f.u.